Here is a PBEsol-optimized structure of Tl from the Alexandria database. Energies are from SCAN.

Cell: 3.3214 3.3214 3.3214 Å, 109.47 109.47 109.47°
Closest atoms and distances in Å follow each position.
Sites, in units of the cell vectors:
Tl: 0.0000 0.0000 0.0000  8 Tl 3.32

Calculated values
- E_form: 0.007 eV per atom
- Energy: -72.351 eV/atom

=====

Here is a PBEsol-optimized structure of Os3Se from the Alexandria database. Energies are from SCAN.

Cell: 2.7948 3.7086 5.6776 Å, 90.00 90.00 90.00°
Closest atoms and distances in Å follow each position.
Sites, in units of the cell vectors:
Se: 0.0000 0.0000 0.0000  10 Os 2.77-2.84, 2 Se 2.79
Os: 0.0000 0.0000 0.5000  10 Os 2.67-2.79, 2 Se 2.84
Os: 0.5000 0.5000 0.7337  7 Os 2.65-2.79, 4 Se 2.77
Os: 0.5000 0.5000 0.2663  7 Os 2.65-2.79, 4 Se 2.77

Calculated values
- Energy: -58.138 eV/atom
- ΔE_f (raw): 0.791 eV per atom

=====

Here is a PBEsol-optimized structure of FeW2Br from the Alexandria database. Energies are from SCAN.

Cell: 3.7232 3.7232 4.4778 Å, 90.00 90.00 90.00°
Closest atoms and distances in Å follow each position.
Sites, in units of the cell vectors:
W: 0.0000 0.5000 0.0000  4 W 2.63, 4 Fe 2.91, 4 Br 2.91
W: 0.5000 0.0000 0.0000  4 W 2.63, 4 Fe 2.91, 4 Br 2.91
Br: 0.5000 0.5000 0.5000  4 Fe 2.63, 8 W 2.91
Fe: 0.0000 0.0000 0.5000  4 Br 2.63, 8 W 2.91

Calculated values
- Energy: -42.866 eV/atom
- ΔE_f (raw): 1.375 eV per atom